## Ta2NbOsC (PBE)

Data for Ta2NbOsC after structural relaxation.

The structure belongs to space group P4/mmm (No. 123); the cell edges are 4.257, 4.257 and 4.257 Å and the angles 90.00°, 90.00° and 90.00°. The distinct sites, in fractional coordinates, are Ta at (0.000, 0.500, 0.000), Nb at (0.000, 0.000, 0.500), Os at (0.500, 0.500, 0.500) and C at (0.000, 0.000, 0.000).

The formation energy comes out at -0.12 eV/atom. As for the crystal system: tetragonal. Its volume is 15.4 Å³ per atom. The theoretical density comes out at 14.1 g cm⁻³. As for the density of states at the Fermi level: 5.2 states/eV per cell.

=====

## LiTiAgCl6 (PBE)

Data for LiTiAgCl6 after structural relaxation.

The structure belongs to space group P-31c (No. 163); the cell edges are 6.3462, 6.3462 and 11.8209 Å and the angles 90.00°, 90.00° and 120.00°. The distinct sites, in fractional coordinates, are Li at (0.3333, 0.6667, 0.2500), Ti at (0.3333, 0.6667, 0.7500), Ag at (0.0000, 0.0000, 0.0000) and Cl at (0.0223, 0.3689, 0.6347).

As for the crystal system: trigonal. Its volume is 22.9 Å³ per atom. Its formation energy without anion corrections is -1346 meV per atom. The theoretical density comes out at 3.0 g cm⁻³.

=====

## SrMg2Ag4 (PBE)

Data for SrMg2Ag4 after structural relaxation.

The structure belongs to space group I4/mmm (No. 139); the cell edges are 7.287, 7.287 and 5.758 Å and the angles 90.00°, 90.00° and 90.00°. The distinct sites, in fractional coordinates, are Sr at (0.000, 0.000, 0.000), Mg at (0.000, 0.500, 0.250) and Ag at (0.194, 0.194, 0.500).

The formation energy comes out at -0.25 eV/atom. As for the crystal system: tetragonal. Its volume is 21.8 Å³ per atom. The theoretical density comes out at 6.2 g cm⁻³. As for the density of states at the Fermi level: 4.0 states/eV per cell.

=====

## Dy4BSe2S (PBE)

Data for Dy4BSe2S after structural relaxation.

The structure belongs to space group I-4m2 (No. 119); the cell edges are 5.621, 5.621 and 11.261 Å and the angles 90.00°, 90.00° and 90.00°. The distinct sites, in fractional coordinates, are Dy at (0.000, 0.000, 0.228), Dy at (0.000, 0.500, 0.005), B at (0.000, 0.000, 0.000), Se at (0.000, 0.000, 0.500), Se at (0.000, 0.500, 0.750) and S at (0.000, 0.500, 0.250).

As for the crystal system: tetragonal. Its volume is 22.2 Å³ per atom. Its formation energy without anion corrections is -1475 meV per atom. The theoretical density comes out at 7.9 g cm⁻³. As for the density of states at the Fermi level: 4.2 states/eV per cell.

=====

## TbHo2Cu6 (PBE)

Data for TbHo2Cu6 after structural relaxation.

The structure belongs to space group P6/mmm (No. 191); the cell edges are 7.3201, 7.3201 and 3.5467 Å and the angles 90.00°, 90.00° and 120.00°. The distinct sites, in fractional coordinates, are Tb at (0.0000, 0.0000, 0.0000), Ho at (0.3333, 0.6667, 0.0000) and Cu at (0.0000, 0.3340, 0.5000).

The formation energy comes out at -0.26 eV/atom. As for the crystal system: hexagonal. Its volume is 18.3 Å³ per atom. The theoretical density comes out at 8.8 g cm⁻³. As for the density of states at the Fermi level: 4.4 states/eV per cell.

=====

## KHf3Co (PBE)

Data for KHf3Co after structural relaxation.

The structure belongs to space group Pm-3m (No. 221); the cell edges are 4.966, 4.966 and 4.966 Å and the angles 90.00°, 90.00° and 90.00°. The distinct sites, in fractional coordinates, are K at (0.000, 0.000, 0.000), Hf at (0.000, 0.500, 0.500) and Co at (0.500, 0.500, 0.500).

The formation energy comes out at 0.58 eV/atom. As for the crystal system: cubic. Its volume is 24.5 Å³ per atom. The theoretical density comes out at 8.6 g cm⁻³. Its relative energy among the computed polymorphs is 0.000 eV/atom. As for the density of states at the Fermi level: 7.9 states/eV per cell.